Entry from the Alexandria database: crystalline Pm4SbN2 at its relaxed geometry (PBE).

Results
The value obtained for the calculated volume is 22.38 A^3/atom. Its electronic total energy is -6.785 eV per atom. As for the uncorrected formation energy: -1.103 eV/atom.

Cell: 6.519 6.519 12.879 Å, 90.00 90.00 145.07°
Positions (direct):
Pm 0.000 0.000 0.000
Pm 0.000 0.000 0.500
Pm 0.262 0.738 0.603
Pm 0.262 0.738 0.897
Pm 0.417 0.583 0.250
Pm 0.583 0.417 0.750
Pm 0.738 0.262 0.103
Pm 0.738 0.262 0.397
Sb 0.107 0.893 0.250
Sb 0.893 0.107 0.750
N 0.361 0.639 0.059
N 0.361 0.639 0.441
N 0.639 0.361 0.559
N 0.639 0.361 0.941